[1]
The following is a GGA-PBE calculation of an optimized crystal structure of LaP3, from Alexandria.

- SG: No. 123
- Calculated total energy: -5.641 eV/atom
- ΔH_f (0 K): -0.352 eV per atom

Cell and atoms, written as POSCAR:
```
LaP3
1.0
3.726 0.000 0.000
0.000 3.726 0.000
0.000 0.000 5.645
P La
3 1
direct
0.500 0.500 0.305
0.500 0.500 0.695
0.000 0.000 0.500
0.000 0.000 0.000
```

=====

[2]
The following is a GGA-PBE calculation of an optimized crystal structure of La2P, from Alexandria.

- SG: No. 141
- Calculated total energy: -5.898 eV/atom
- ΔH_f (0 K): -0.809 eV per atom

Cell and atoms, written as POSCAR:
```
La2P
1.0
-4.739 -16.398 -3.569
-0.117 -15.698 -7.594
4.423 15.012 7.693
La P
8 4
direct
0.413 0.413 0.000
0.005 0.505 0.500
0.587 0.587 0.000
0.663 0.163 0.500
0.837 0.337 0.500
0.495 0.995 0.500
0.245 0.245 0.000
0.755 0.755 0.000
0.317 0.817 0.500
0.933 0.933 0.000
0.067 0.067 0.000
0.183 0.683 0.500
```

=====

[3]
The following is a GGA-PBE calculation of an optimized crystal structure of LaP7, from Alexandria.

- SG: No. 14
- Calculated total energy: -5.782 eV/atom
- ΔH_f (0 K): -0.432 eV per atom

Cell and atoms, written as POSCAR:
```
LaP7
1.0
-8.039 8.401 1.407
-3.807 -4.321 4.050
0.298 -1.428 10.234
La P
4 28
direct
0.349 0.114 0.284
0.849 0.886 0.216
0.651 0.886 0.716
0.151 0.114 0.784
0.466 0.311 0.592
0.512 0.838 0.007
0.901 0.265 0.823
0.488 0.162 0.993
0.310 0.313 0.472
0.885 0.638 0.738
0.337 0.703 0.049
0.012 0.162 0.493
0.615 0.638 0.238
0.810 0.687 0.028
0.966 0.689 0.908
0.988 0.838 0.507
0.780 0.286 0.250
0.163 0.703 0.549
0.534 0.689 0.408
0.385 0.362 0.762
0.034 0.311 0.092
0.220 0.714 0.750
0.280 0.714 0.250
0.115 0.362 0.262
0.690 0.687 0.528
0.401 0.735 0.677
0.663 0.297 0.951
0.099 0.735 0.177
0.720 0.286 0.750
0.599 0.265 0.323
0.190 0.313 0.972
0.837 0.297 0.451
```

=====

[4]
The following is a GGA-PBE calculation of an optimized crystal structure of La2P, from Alexandria.

- SG: No. 205
- Calculated total energy: -5.978 eV/atom
- ΔH_f (0 K): -0.890 eV per atom

Cell and atoms, written as POSCAR:
```
La2P
1.0
-7.183 -0.423 0.017
0.413 -6.932 1.885
-0.095 1.883 6.945
La P
8 4
direct
0.654 0.846 0.846
0.846 0.154 0.346
0.846 0.346 0.846
0.654 0.654 0.346
0.346 0.346 0.654
0.346 0.154 0.154
0.154 0.654 0.154
0.154 0.846 0.654
0.000 0.500 0.500
0.500 0.000 0.500
0.500 0.500 0.000
0.000 0.000 0.000
```

=====

[5]
The following is a GGA-PBE calculation of an optimized crystal structure of La3P, from Alexandria.

- E above lowest polymorph: 1.388 eV/f.u.
- SG: No. 139
- Calculated total energy: -5.455 eV/atom
- ΔH_f (0 K): -0.407 eV per atom

Cell and atoms, written as POSCAR:
```
La3P
1.0
6.032 -0.020 0.000
2.422 5.524 0.000
-4.227 -2.752 3.308
La P
3 1
direct
0.250 0.750 0.500
0.500 0.500 0.000
0.750 0.250 0.500
0.000 0.000 0.000
```

=====

[6]
The following is a GGA-PBE calculation of an optimized crystal structure of LaP, from Alexandria.

- SG: No. 217
- Calculated total energy: -6.190 eV/atom
- ΔH_f (0 K): -1.021 eV per atom

Cell and atoms, written as POSCAR:
```
LaP
1.0
9.060 0.000 0.000
0.000 9.060 0.000
0.000 0.000 9.060
La P
8 8
direct
0.160 0.160 0.840
0.340 0.660 0.660
0.660 0.660 0.340
0.840 0.840 0.840
0.340 0.340 0.340
0.160 0.840 0.160
0.840 0.160 0.160
0.660 0.340 0.660
0.156 0.844 0.844
0.156 0.156 0.156
0.344 0.656 0.344
0.344 0.344 0.656
0.656 0.656 0.656
0.656 0.344 0.344
0.844 0.156 0.844
0.844 0.844 0.156
```

=====

[7]
The following is a GGA-PBE calculation of an optimized crystal structure of LaP2, from Alexandria.

- SG: No. 8
- Calculated total energy: -6.083 eV/atom
- ΔH_f (0 K): -0.834 eV per atom

Cell and atoms, written as POSCAR:
```
LaP2
1.0
1.936 5.789 0.004
-1.936 5.789 0.004
0.000 0.951 6.310
La P
2 4
direct
0.070 0.070 0.965
0.290 0.290 0.396
0.343 0.343 0.872
0.636 0.636 0.617
0.584 0.584 0.306
0.911 0.911 0.678
```

=====

[8]
The following is a GGA-PBE calculation of an optimized crystal structure of LaP2, from Alexandria.

- SG: No. 205
- Calculated total energy: -5.945 eV/atom
- ΔH_f (0 K): -0.696 eV per atom

Cell and atoms, written as POSCAR:
```
LaP2
1.0
6.942 0.000 0.000
0.000 6.942 0.000
0.000 0.000 6.942
P La
8 4
direct
0.412 0.088 0.088
0.088 0.912 0.588
0.912 0.088 0.412
0.588 0.588 0.412
0.412 0.412 0.588
0.912 0.412 0.912
0.088 0.588 0.088
0.588 0.912 0.912
0.000 0.000 0.000
0.500 0.000 0.500
0.500 0.500 0.000
0.000 0.500 0.500
```